First-principles (PBE) data for a relaxed structure of ThCu3I9, as listed in the Alexandria database.

abc: 21.749 9.734 13.860
angles: 90.00 125.60 90.00
Space group Cc (No. 9)
Inequivalent atoms, fractional coordinates:
Th1 0.000 0.250 0.000 [4 per cell]
Cu1 0.128 0.122 0.813 [4 per cell]
Cu2 0.249 0.399 0.749 [4 per cell]
Cu3 0.372 0.122 0.687 [4 per cell]
I1 0.000 0.167 0.783 [4 per cell]
I2 0.105 0.000 0.127 [4 per cell]
I3 0.139 0.429 0.094 [4 per cell]
I4 0.227 0.312 0.900 [4 per cell]
I5 0.250 0.002 0.001 [4 per cell]
I6 0.272 0.309 0.599 [4 per cell]
I7 0.362 0.432 0.406 [4 per cell]
I8 0.396 0.001 0.874 [4 per cell]
I9 0.499 0.167 0.716 [4 per cell]

- formation energy without anion corrections (kJ per mole of atoms) = -47.44
- electronic total energy (eV per cell) = -160.21

=====

First-principles (PBE) data for a relaxed structure of Ac3Pr2Sn3, as listed in the Alexandria database.

abc: 4.519 5.269 23.325
angles: 90.00 90.00 90.00
Space group Immm (No. 71)
Inequivalent atoms, fractional coordinates:
Ac1 0.000 0.000 0.000 [2 per cell]
Ac2 0.000 0.500 0.118 [4 per cell]
Pr1 0.000 0.000 0.251 [4 per cell]
Sn1 0.000 0.000 0.500 [2 per cell]
Sn2 0.000 0.500 0.354 [4 per cell]

- energy above the most stable polymorph in this dataset (meV per atom) = 138
- energy of formation (eV per formula unit) = -4.075
- electronic total energy (eV per cell) = -75.94

=====

First-principles (PBE) data for a relaxed structure of Ba2LiAl2, as listed in the Alexandria database.

abc: 3.950 3.950 22.522
angles: 90.00 90.00 90.00
Space group I4/mmm (No. 139)
Inequivalent atoms, fractional coordinates:
Ba1 0.000 0.000 0.116 [4 per cell]
Li1 0.000 0.000 0.500 [2 per cell]
Al1 0.000 0.500 0.250 [4 per cell]

- energy above the most stable polymorph in this dataset (meV per atom) = 194
- energy of formation (eV per formula unit) = 0.609
- electronic total energy (eV per cell) = -25.27

=====

First-principles (PBE) data for a relaxed structure of MgTl2Cr, as listed in the Alexandria database.

abc: 7.281 7.281 7.281
angles: 90.00 90.00 90.00
Space group F-43m (No. 216)
Inequivalent atoms, fractional coordinates:
Mg1 0.000 0.000 0.000 [4 per cell]
Tl1 0.000 0.000 0.500 [4 per cell]
Tl2 0.250 0.250 0.750 [4 per cell]
Cr1 0.250 0.250 0.250 [4 per cell]

- energy of formation (eV per formula unit) = 1.667
- electronic total energy (eV per cell) = -57.13

=====

First-principles (PBE) data for a relaxed structure of K5CuCO5, as listed in the Alexandria database.

abc: 8.952 10.836 10.501
angles: 90.00 90.00 90.00
Space group Aem2 (No. 39)
Inequivalent atoms, fractional coordinates:
K1 0.000 0.000 0.000 [4 per cell]
K2 0.251 0.047 0.257 [8 per cell]
K3 0.267 0.250 0.554 [4 per cell]
K4 0.287 0.250 0.933 [4 per cell]
Cu1 0.500 0.000 0.006 [4 per cell]
C1 0.011 0.250 0.772 [4 per cell]
O1 0.066 0.146 0.732 [8 per cell]
O2 0.098 0.250 0.355 [4 per cell]
O3 0.299 0.017 0.006 [8 per cell]

- formation energy without anion corrections (kJ per mole of atoms) = -136.22
- electronic total energy (eV per cell) = -242.16

=====

First-principles (PBE) data for a relaxed structure of SrAcEuDy, as listed in the Alexandria database.

abc: 8.755 8.755 8.755
angles: 90.00 90.00 90.00
Space group F-43m (No. 216)
Inequivalent atoms, fractional coordinates:
Sr1 0.000 0.000 0.000 [4 per cell]
Ac1 0.250 0.250 0.750 [4 per cell]
Eu1 0.250 0.250 0.250 [4 per cell]
Dy1 0.000 0.000 0.500 [4 per cell]

- energy of formation (eV per formula unit) = 0.655
- electronic total energy (eV per cell) = -80.05

=====

First-principles (PBE) data for a relaxed structure of Pa2NbGa3, as listed in the Alexandria database.

abc: 5.7198 5.7198 8.4441
angles: 90.00 90.00 120.00
Space group P6_3/mmc (No. 194)
Inequivalent atoms, fractional coordinates:
Pa1 0.3333 0.6667 0.0827 [4 per cell]
Nb1 0.0000 0.0000 0.0000 [2 per cell]
Ga1 0.1771 0.3542 0.7500 [6 per cell]

- energy above the most stable polymorph in this dataset (meV per atom) = 50
- energy of formation (eV per formula unit) = -1.629
- electronic total energy (eV per cell) = -79.54

=====

First-principles (PBE) data for a relaxed structure of SrInAu2, as listed in the Alexandria database.

abc: 4.025 5.074 9.723
angles: 90.00 90.00 90.00
Space group Imm2 (No. 44)
Inequivalent atoms, fractional coordinates:
Sr1 0.000 0.000 0.000 [2 per cell]
In1 0.000 0.500 0.221 [2 per cell]
Au1 0.000 0.000 0.495 [2 per cell]
Au2 0.000 0.500 0.772 [2 per cell]

- energy of formation (eV per formula unit) = -1.725
- electronic total energy (eV per cell) = -25.40